No. 1
Compound: Er2SbH2
Source: Alexandria via LeMat-Bulk
Functional: PBE
Structure: optimized geometry

a b c (Å): 3.8515 3.8515 11.3887
angles (deg): 90.00 90.00 90.00
Space group I4/mmm (No. 139)
Asymmetric unit:
Er 0.0000 0.0000 0.1469 (multiplicity 4)
Sb 0.0000 0.0000 0.5000 (multiplicity 2)
H 0.0000 0.5000 0.2500 (multiplicity 4)

Results
Total DFT energy (no corrections) ... -4.765 eV per atom

No. 2
Compound: K5CuAs2
Source: Alexandria via LeMat-Bulk
Functional: PBE
Structure: optimized geometry

a b c (Å): 5.7928 5.7928 18.9651
angles (deg): 90.00 90.00 120.00
Space group P6_3/mmc (No. 194)
Asymmetric unit:
K 0.0000 0.0000 0.1453 (multiplicity 4)
K 0.3333 0.6667 0.0493 (multiplicity 4)
K 0.3333 0.6667 0.2500 (multiplicity 2)
Cu 0.3333 0.6667 0.7500 (multiplicity 2)
As 0.3333 0.6667 0.6267 (multiplicity 4)

Results
Total DFT energy (no corrections) ... -2.715 eV per atom

No. 3
Compound: RbNbV3
Source: Alexandria via LeMat-Bulk
Functional: PBE
Structure: optimized geometry

a b c (Å): 5.0403 5.0403 5.0403
angles (deg): 90.00 90.00 90.00
Space group Pm-3m (No. 221)
Asymmetric unit:
Rb 0.0000 0.0000 0.0000 (multiplicity 1)
Nb 0.5000 0.5000 0.5000 (multiplicity 1)
V 0.0000 0.5000 0.5000 (multiplicity 3)

Results
Excess energy over the best structure of this formula in the dataset ... 0 meV/atom

No. 4
Compound: MgSbPtI2
Source: Alexandria via LeMat-Bulk
Functional: PBE
Structure: optimized geometry

a b c (Å): 5.6029 5.6029 5.2273
angles (deg): 90.00 90.00 90.00
Space group P4/mmm (No. 123)
Asymmetric unit:
Mg 0.0000 0.0000 0.0000 (multiplicity 1)
Sb 0.5000 0.5000 0.0000 (multiplicity 1)
Pt 0.5000 0.5000 0.5000 (multiplicity 1)
I 0.0000 0.5000 0.5000 (multiplicity 2)

Results
Excess energy over the best structure of this formula in the dataset ... 0 meV/atom
Uncorrected formation energy ... 174 meV per atom

No. 5
Compound: Se2Br
Source: Alexandria via LeMat-Bulk
Functional: PBE
Structure: optimized geometry

a b c (Å): 3.7633 27.2532 3.3976
angles (deg): 90.00 90.00 90.00
Space group Cmcm (No. 63)
Asymmetric unit:
Se 0.0000 0.0312 0.2500 (multiplicity 4)
Se 0.0000 0.2646 0.7500 (multiplicity 4)
Br 0.0000 0.3940 0.2500 (multiplicity 4)

Results
Excess energy over the best structure of this formula in the dataset ... 214 meV/atom
Uncorrected formation energy ... 169 meV per atom

No. 6
Compound: NpGa2Bi
Source: Alexandria via LeMat-Bulk
Functional: PBE
Structure: optimized geometry

a b c (Å): 4.5493 4.5493 4.3979
angles (deg): 90.00 90.00 90.00
Space group P4/mmm (No. 123)
Asymmetric unit:
Np 0.0000 0.0000 0.0000 (multiplicity 1)
Ga 0.0000 0.5000 0.5000 (multiplicity 2)
Bi 0.5000 0.5000 0.0000 (multiplicity 1)

Results
Excess energy over the best structure of this formula in the dataset ... 0 meV/atom

No. 7
Compound: Tl5Ge2Te6
Source: Alexandria via LeMat-Bulk
Functional: PBE
Structure: optimized geometry

a b c (Å): 13.1397 15.1233 4.7550
angles (deg): 90.00 90.00 90.00
Space group Pbam (No. 55)
Asymmetric unit:
Tl 0.0000 0.0000 0.0000 (multiplicity 2)
Tl 0.0706 0.2502 0.0000 (multiplicity 4)
Tl 0.1713 0.5074 0.0000 (multiplicity 4)
Ge 0.1784 0.7154 0.5000 (multiplicity 4)
Te 0.0161 0.6084 0.5000 (multiplicity 4)
Te 0.1651 0.1012 0.5000 (multiplicity 4)
Te 0.1828 0.8119 0.0000 (multiplicity 4)

Results
Uncorrected formation energy ... -197 meV per atom

No. 8
Compound: BaLaRu3
Source: Alexandria via LeMat-Bulk
Functional: PBE
Structure: optimized geometry

a b c (Å): 5.0511 5.0511 5.0511
angles (deg): 90.00 90.00 90.00
Space group Pm-3m (No. 221)
Asymmetric unit:
Ba 0.0000 0.0000 0.0000 (multiplicity 1)
La 0.5000 0.5000 0.5000 (multiplicity 1)
Ru 0.0000 0.5000 0.5000 (multiplicity 3)

Results
Excess energy over the best structure of this formula in the dataset ... 0 meV/atom

Record-wise magnetic moment values, in Bohr magnetons per cell: 0.00 0.00 7.67 0.40 0.00 4.03 0.00 2.71